PBE ScSi2Mo, optimized geometry; crystal system = orthorhombic; distance to the lowest polymorph of the same formula = 16 meV per atom; Fermi-level density of states = 2.64 states/eV/cell; uncorrected formation energy = -0.522 eV per atom
1.0
-0.3794 -2.9614 2.2204
3.4564 0.0364 0.6392
1.0099 2.9013 4.0421
Si Mo Sc
2 1 1
Direct
0.0000 0.2022 0.9701
0.5000 0.0464 0.2825
0.0000 0.4808 0.4136
0.5000 0.7706 0.8338



PBE LiThAl2Zn4, optimized geometry; VASP energy = -2.972 eV per atom; crystal system = trigonal; Fermi-level density of states = 3.50 states/eV/cell
1.0
-1.1278 -1.9570 -3.7532
2.7484 -2.8275 -1.9078
-2.9780 -7.9712 2.4950
Zn Al Th Li
4 2 1 1
Direct
0.1328 0.1328 0.6015
0.6005 0.6005 0.1985
0.8672 0.8672 0.3985
0.3995 0.3995 0.8015
0.2426 0.2426 0.2723
0.7574 0.7574 0.7277
0.0000 0.0000 0.0000
0.5000 0.5000 0.5000



PBE Cd3RuS, optimized geometry; crystal system = cubic; distance to the lowest polymorph of the same formula = 0 meV per atom; Fermi-level density of states = 9.44 states/eV/cell; uncorrected formation energy = 0.852 eV per atom
1.0
-3.4441 -3.6585 -1.2439
2.8015 -1.2164 -4.1792
2.6615 -3.4539 2.7894
Cd S Ru
3 1 1
Direct
0.0000 0.5000 0.0000
0.0000 0.0000 0.5000
0.5000 0.0000 0.0000
0.5000 0.5000 0.5000
0.0000 0.0000 0.0000



PBE CsRe2W, optimized geometry; crystal system = cubic; distance to the lowest polymorph of the same formula = 0 meV per atom; Fermi-level density of states = 3.50 states/eV/cell
1.0
0.0000 3.3279 3.3279
3.3279 0.0000 3.3279
3.3279 3.3279 0.0000
Cs Re W
1 2 1
Direct
0.0000 0.0000 0.0000
0.2500 0.2500 0.2500
0.7500 0.7500 0.7500
0.5000 0.5000 0.5000



PBE CsNbSi2Mo, optimized geometry; crystal system = tetragonal; Fermi-level density of states = 3.70 states/eV/cell; uncorrected formation energy = 1.672 eV per atom
1.0
-1.5255 3.8852 2.7769
-1.0752 -3.5973 4.4424
4.6848 0.6518 1.6616
Cs Si Nb Mo
1 2 1 1
Direct
0.0000 0.5000 0.0000
0.0000 0.0000 0.5000
0.5000 0.0000 0.0000
0.0000 0.0000 0.0000
0.5000 0.5000 0.5000



PBE Hf3VAg, optimized geometry; crystal system = cubic; distance to the lowest polymorph of the same formula = 547 meV per atom; Fermi-level density of states = 6.83 states/eV/cell
1.0
-3.4365 1.3654 3.4596
3.2188 -1.2681 3.6978
1.8634 4.7086 -0.0073
Hf Ag V
3 1 1
Direct
0.0000 0.5000 0.0000
0.0000 0.0000 0.5000
0.5000 0.0000 0.0000
0.0000 0.0000 0.0000
0.5000 0.5000 0.5000



PBE LaTi, optimized geometry; crystal system = orthorhombic; distance to the lowest polymorph of the same formula = 159 meV per atom; Fermi-level density of states = 28.97 states/eV/cell
1.0
-3.9080 -2.5135 -6.1531
-3.2642 -3.4967 3.5016
-6.0573 6.7471 1.0910
La Ti
8 8
Direct
0.4405 0.1346 0.4939
0.8191 0.8693 0.6845
0.3191 0.6307 0.3155
0.5595 0.6346 0.0061
0.1809 0.3693 0.8155
0.9405 0.3654 0.5061
0.0595 0.8654 0.9939
0.6809 0.1307 0.1845
0.5358 0.5831 0.6554
0.9642 0.4169 0.1554
0.7760 0.3352 0.8532
0.4642 0.0831 0.8446
0.0358 0.9169 0.3446
0.7240 0.6648 0.3532
0.2760 0.1648 0.1468
0.2240 0.8352 0.6468



PBE CaDyCu4, optimized geometry; crystal system = orthorhombic; distance to the lowest polymorph of the same formula = 0 meV per atom; Fermi-level density of states = 3.58 states/eV/cell
1.0
3.6798 -0.0014 0.0003
0.0016 4.2768 -0.0001
-0.0005 0.0002 7.2602
Ca Dy Cu
1 1 4
Direct
0.9988 0.9973 0.4981
0.9987 0.4973 0.9981
0.4985 0.9973 0.1635
0.4984 0.9973 0.8328
0.4986 0.4973 0.3267
0.4986 0.4973 0.6696



PBE Ag7Pd3Au2, optimized geometry; VASP energy = -3.456 eV per atom; crystal system = triclinic; Fermi-level density of states = 4.78 states/eV/cell
1.0
2.8494 0.0003 -0.3739
-0.1178 4.8201 -0.9094
0.8172 -3.4752 17.4218
Ag Au Pd
7 2 3
Direct
0.9281 0.4629 0.8551
0.0000 0.0000 0.0000
0.7142 0.3606 0.4286
0.0719 0.5371 0.1449
0.4280 0.9644 0.8548
0.2858 0.6394 0.5714
0.5720 0.0356 0.1452
0.6476 0.5840 0.2963
0.3524 0.4160 0.7037
0.5000 0.5000 0.0000
0.8571 0.9314 0.7126
0.1429 0.0686 0.2874



PBE TiAs2SeI, optimized geometry; crystal system = tetragonal; distance to the lowest polymorph of the same formula = 0 meV per atom; Fermi-level density of states = 5.01 states/eV/cell; uncorrected formation energy = 0.029 eV per atom
1.0
-2.6417 0.9736 4.2479
1.1974 -4.6140 1.8022
3.9554 1.8239 2.0417
Se Ti I As
1 1 1 2
Direct
0.0000 0.0000 0.5000
0.0000 0.0000 0.0000
0.5000 0.5000 0.5000
0.5000 0.0000 0.0000
0.0000 0.5000 0.0000



PBE Zr2ReOsRh, optimized geometry; VASP energy = -8.396 eV per atom; crystal system = tetragonal; Fermi-level density of states = 5.87 states/eV/cell
1.0
-0.7862 2.3014 -4.3359
-2.8942 -3.3357 -1.2458
-3.7768 2.5213 2.0231
Re Zr Rh Os
1 2 1 1
Direct
0.5000 0.5000 0.5000
0.0000 0.0000 0.5000
0.5000 0.0000 0.0000
0.0000 0.5000 0.0000
0.0000 0.0000 0.0000



PBE TaP2Rh, optimized geometry; crystal system = tetragonal; distance to the lowest polymorph of the same formula = 376 meV per atom; Fermi-level density of states = 2.74 states/eV/cell
1.0
-2.4858 -1.2150 0.6822
-0.5319 -0.4557 -2.7622
3.6513 -7.1984 0.4845
Ta Rh P
1 1 2
Direct
0.5000 0.5000 0.7386
0.0000 0.0000 0.4867
0.5000 0.5000 0.3109
0.0000 0.0000 0.9637